1.
NiW4Se | GGA-PBE | optimized geometry

a b c (Å): 5.2855 5.2855 5.2855
angles (deg): 60.00 60.00 60.00
Positions (direct):
W: 0.3758 0.3758 0.8727
W: 0.3758 0.3758 0.3758
Se: 0.0000 0.0000 0.0000
W: 0.3758 0.8727 0.3758
Ni: 0.7500 0.7500 0.7500
W: 0.8727 0.3758 0.3758

DOS(E_F) (states/eV per cell): 5.59
Symmetry: No. 216
ΔE_f (raw) (meV/atom): 954.5

2.
NiWSe2 | GGA-PBE | optimized geometry

a b c (Å): 3.1978 3.1978 7.5066
angles (deg): 90.00 90.00 90.00
Positions (direct):
W: 0.0000 0.0000 0.5332
Se: 0.0000 0.0000 0.8697
Ni: 0.5000 0.5000 0.7466
Se: 0.5000 0.5000 0.3505

Relative energy among the computed polymorphs (eV/f.u.): 0.40
DOS(E_F) (states/eV per cell): 1.72
Symmetry: No. 99
ΔE_f (raw) (meV/atom): -50.8

3.
NiWSe2 | GGA-PBE | optimized geometry

a b c (Å): 3.7108 3.8433 6.4189
angles (deg): 90.00 90.00 90.00
Positions (direct):
Se: 0.0000 0.8750 0.8717
Ni: 0.5000 0.8749 0.6251
Se: 0.5000 0.3750 0.3747
W: 0.0000 0.3750 0.6285

Relative energy among the computed polymorphs (eV/f.u.): 0.00
DOS(E_F) (states/eV per cell): 2.56
Symmetry: No. 25
ΔE_f (raw) (meV/atom): -151.9

4.
NiWSe3 | GGA-PBE | optimized geometry

a b c (Å): 4.9207 4.9207 4.9207
angles (deg): 90.00 90.00 90.00
Last column: magnetic moment on the atom in μB.
Positions (direct):
Se: 0.5000 0.0000 0.0000  0.07
W: 0.0000 0.0000 0.0000  -0.14
Se: 0.0000 0.5000 0.0000  0.11
Se: 0.0000 0.0000 0.5000  0.07
Ni: 0.5000 0.5000 0.5000  0.89

Relative energy among the computed polymorphs (eV/f.u.): 5.24
DOS(E_F) (states/eV per cell): 8.07
Symmetry: No. 221
ΔE_f (raw) (meV/atom): 768.3

5.
Ni2WSe | GGA-PBE | optimized geometry

a b c (Å): 4.2378 4.2378 4.2378
angles (deg): 119.98 119.98 90.04
Positions (direct):
Se: 0.5000 0.5000 0.0000
W: 0.7500 0.2500 0.5000
Ni: 0.2500 0.7500 0.5000
Ni: 0.0000 0.0000 0.0000

DOS(E_F) (states/eV per cell): 3.94
Symmetry: No. 216
ΔE_f (raw) (meV/atom): 292.5

6.
NiWSe2 | GGA-PBE | optimized geometry

a b c (Å): 3.1140 5.3360 3.9750
angles (deg): 90.00 90.00 90.00
Positions (direct):
Se: 0.5000 0.5000 0.0000
Ni: 0.0000 0.5000 0.5000
W: 0.5000 0.0000 0.5000
Se: 0.0000 0.0000 0.0000

Relative energy among the computed polymorphs (eV/f.u.): 3.21
DOS(E_F) (states/eV per cell): 2.80
Symmetry: No. 47
ΔE_f (raw) (meV/atom): 650.0